i.
# CeNd2Sn

CeNd2Sn after structural relaxation (GGA-PBE, Alexandria).

Computed properties:
Its crystal system is trigonal. For the density, the calculation gives 7.37 g/cm3. The value obtained for the density of states at the Fermi level is 1.945 states/eV per atom.

abc: 12.2326 12.2326 12.2326
angles: 16.14 16.14 16.14
With the nearest neighbours (Å) after each atom.
Fractional coordinates of all 4 atoms:
Ce1 0.0000 0.0000 0.0000  2 Nd 3.33, 6 Ce 3.43
Nd1 0.0920 0.0920 0.0920  1 Ce 3.33, 3 Sn 3.35, 6 Nd 3.43
Nd2 0.9080 0.9080 0.9080  1 Ce 3.33, 3 Sn 3.35, 6 Nd 3.43
Sn1 0.5000 0.5000 0.5000  6 Nd 3.35, 6 Sn 3.43

=====

ii.
# CeNd2Sn

CeNd2Sn after structural relaxation (GGA-PBE, Alexandria).

Computed properties:
Its crystal system is tetragonal. For the density, the calculation gives 7.72 g/cm3. The value obtained for the density of states at the Fermi level is 1.894 states/eV per atom.

abc: 4.9808 4.9808 4.7447
angles: 90.00 90.00 90.00
With the nearest neighbours (Å) after each atom.
Fractional coordinates of all 4 atoms:
Ce1 0.0000 0.0000 0.0000  8 Nd 3.44, 4 Sn 3.52
Nd1 0.0000 0.5000 0.5000  4 Sn 3.44, 4 Ce 3.44, 4 Nd 3.52
Nd2 0.5000 0.0000 0.5000  4 Sn 3.44, 4 Ce 3.44, 4 Nd 3.52
Sn1 0.5000 0.5000 0.0000  8 Nd 3.44, 4 Ce 3.52

=====

Which structure is most stable? ii, by 404 meV per atom over the runner-up.

=====

i.
# CeNd2Sn

CeNd2Sn after structural relaxation (GGA-PBE, Alexandria).

Computed properties:
Its crystal system is cubic. For the density, the calculation gives 7.67 g/cm3. The value obtained for the density of states at the Fermi level is 1.941 states/eV per atom.

abc: 5.5126 5.5126 5.5126
angles: 60.00 60.00 60.00
With the nearest neighbours (Å) after each atom.
Fractional coordinates of all 4 atoms:
Ce1 0.0000 0.0000 0.0000  8 Nd 3.38
Nd1 0.2500 0.2500 0.2500  4 Ce 3.38, 4 Sn 3.38
Nd2 0.7500 0.7500 0.7500  4 Sn 3.38, 4 Ce 3.38
Sn1 0.5000 0.5000 0.5000  8 Nd 3.38

=====

ii.
# CeNd2Sn

CeNd2Sn after structural relaxation (GGA-PBE, Alexandria).

Computed properties:
Its crystal system is tetragonal. For the density, the calculation gives 7.49 g/cm3. The value obtained for the density of states at the Fermi level is 1.827 states/eV per atom.

abc: 4.1450 4.1450 7.0601
angles: 90.00 90.00 90.00
With the nearest neighbours (Å) after each atom.
Fractional coordinates of all 4 atoms:
Ce1 0.0000 0.0000 0.0000  8 Nd 3.51, 2 Sn 3.53
Nd1 0.5000 0.5000 0.2725  1 Nd 3.21, 4 Sn 3.34, 4 Ce 3.51
Nd2 0.5000 0.5000 0.7275  1 Nd 3.21, 4 Sn 3.34, 4 Ce 3.51
Sn1 0.0000 0.0000 0.5000  8 Nd 3.34, 2 Ce 3.53

=====

Which structure is most stable? ii, by 83 meV per atom over the runner-up.

=====

i.
# CeNdTlSn

CeNdTlSn after structural relaxation (GGA-PBE, Alexandria).

Computed properties:
Its crystal system is cubic. For the density, the calculation gives 8.58 g/cm3. The value obtained for the density of states at the Fermi level is 2.156 states/eV per atom.

abc: 5.4979 5.4979 5.4979
angles: 60.00 60.00 60.00
With the nearest neighbours (Å) after each atom.
Fractional coordinates of all 4 atoms:
Ce1 0.0000 0.0000 0.0000  4 Tl 3.37, 4 Sn 3.37
Nd1 0.5000 0.5000 0.5000  4 Tl 3.37, 4 Sn 3.37
Tl1 0.7500 0.7500 0.7500  4 Nd 3.37, 4 Ce 3.37
Sn1 0.2500 0.2500 0.2500  4 Ce 3.37, 4 Nd 3.37

=====

ii.
# CeNdTlSn

CeNdTlSn after structural relaxation (GGA-PBE, Alexandria).

Computed properties:
Its crystal system is tetragonal. For the density, the calculation gives 8.64 g/cm3. The value obtained for the density of states at the Fermi level is 1.836 states/eV per atom.

abc: 4.0984 4.0984 6.9485
angles: 90.00 90.00 90.00
With the nearest neighbours (Å) after each atom.
Fractional coordinates of all 4 atoms:
Ce1 0.0000 0.0000 0.0000  2 Nd 3.32-3.63, 4 Sn 3.34, 4 Tl 3.43
Nd1 0.0000 0.0000 0.4782  2 Ce 3.32-3.63, 4 Sn 3.34, 4 Tl 3.41
Tl1 0.5000 0.5000 0.7362  4 Nd 3.41, 4 Ce 3.43, 2 Sn 3.45-3.50
Sn1 0.5000 0.5000 0.2394  4 Nd 3.34, 4 Ce 3.34, 2 Tl 3.45-3.50

=====

Which structure is most stable? ii, by 21 meV per atom over the runner-up.